Entry 1:
Here is a relaxed Pa3GaCo8Si2 crystal from Alexandria. Energies are from PBE.

```
Pa3GaCo8Si2
1.0
5.020 0.000 0.000
-2.510 4.347 0.000
0.000 0.000 9.168
Pa Ga Co Si
3 1 8 2
Direct
0.000 0.000 0.000 Pa
0.333 0.667 0.582 Pa
0.667 0.333 0.418 Pa
0.000 0.000 0.500 Ga
0.165 0.329 0.280 Co
0.165 0.835 0.280 Co
0.329 0.165 0.720 Co
0.333 0.667 0.847 Co
0.667 0.333 0.153 Co
0.671 0.835 0.280 Co
0.835 0.165 0.720 Co
0.835 0.671 0.720 Co
0.333 0.667 0.094 Si
0.667 0.333 0.906 Si
```

Space-group type: No. 164
Formation energy (no corrections): -367.9 meV/atom

***

Entry 2:
Here is a relaxed Tl2CoPt crystal from Alexandria. Energies are from PBE.

```
Tl2CoPt
1.0
3.226 0.000 0.000
-1.613 2.794 0.000
0.000 0.000 25.030
Tl Co Pt
6 3 3
Direct
0.000 0.000 0.245 Tl
0.000 0.000 0.755 Tl
0.333 0.667 0.422 Tl
0.333 0.667 0.912 Tl
0.667 0.333 0.088 Tl
0.667 0.333 0.578 Tl
0.000 0.000 0.500 Co
0.333 0.667 0.167 Co
0.667 0.333 0.833 Co
0.000 0.000 0.000 Pt
0.333 0.667 0.667 Pt
0.667 0.333 0.333 Pt
```

Space-group type: No. 166
Energy of formation from the pure elements: 0.419 eV per atom

***

Entry 3:
Here is a relaxed CuNi2Rh crystal from Alexandria. Energies are from PBE.

```
CuNi2Rh
1.0
5.167 0.000 0.000
0.000 7.213 0.000
0.000 0.000 2.602
Cu Ni Rh
2 4 2
Direct
0.000 0.000 0.000 Cu
0.500 0.500 0.000 Cu
0.250 0.250 0.500 Ni
0.250 0.750 0.500 Ni
0.750 0.250 0.500 Ni
0.750 0.750 0.500 Ni
0.000 0.500 0.000 Rh
0.500 0.000 0.000 Rh
```

Space-group type: No. 65
Energy of formation from the pure elements: 0.047 eV per atom

***

Entry 4:
Here is a relaxed YScCl6 crystal from Alexandria. Energies are from PBE.

```
YScCl6
1.0
3.285 1.896 5.924
-3.285 1.896 5.924
0.000 -3.793 5.924
Y Sc Cl
1 1 6
Direct
0.000 0.000 0.000 Y
0.500 0.500 0.500 Sc
0.114 0.403 0.740 Cl
0.260 0.886 0.597 Cl
0.403 0.740 0.114 Cl
0.597 0.260 0.886 Cl
0.740 0.114 0.403 Cl
0.886 0.597 0.260 Cl
```

Space-group type: No. 148
Distance to the lowest polymorph of the same formula: 14 meV/atom
Formation energy (no corrections): -2144.5 meV/atom

***

Entry 5:
Here is a relaxed La4Pr2O crystal from Alexandria. Energies are from PBE.

```
La4Pr2O
1.0
5.099 0.000 0.000
0.000 5.099 0.000
0.000 0.000 17.724
La Pr O
8 4 2
Direct
0.000 0.000 0.141 La
0.000 0.000 0.859 La
0.000 0.500 0.000 La
0.000 0.500 0.500 La
0.500 0.000 0.000 La
0.500 0.000 0.500 La
0.500 0.500 0.359 La
0.500 0.500 0.641 La
0.000 0.000 0.346 Pr
0.000 0.000 0.654 Pr
0.500 0.500 0.154 Pr
0.500 0.500 0.846 Pr
0.000 0.000 0.000 O
0.500 0.500 0.500 O
```

Space-group type: No. 139
Formation energy (no corrections): -658.6 meV/atom

***

Entry 6:
Here is a relaxed K3Sc2TiS6 crystal from Alexandria. Energies are from PBE.

```
K3Sc2TiS6
1.0
3.276 -5.675 0.000
3.276 5.675 0.000
-2.186 0.000 7.296
K Sc Ti S
3 2 1 6
Direct
0.000 0.000 0.000 K
0.332 0.668 0.000 K
0.668 0.332 0.000 K
0.166 0.834 0.500 Sc
0.834 0.166 0.500 Sc
0.500 0.500 0.500 Ti
0.112 0.436 0.309 S
0.239 0.239 0.691 S
0.436 0.112 0.309 S
0.564 0.888 0.691 S
0.761 0.761 0.309 S
0.888 0.564 0.691 S
```

Space-group type: No. 12
Formation energy (no corrections): -1596.2 meV/atom

***

Entry 7:
Here is a relaxed Cs3Rb2Hg3 crystal from Alexandria. Energies are from PBE.

```
Cs3Rb2Hg3
1.0
4.662 0.000 0.000
0.000 6.812 0.000
0.000 0.000 29.619
Cs Rb Hg
6 4 6
Direct
0.000 0.000 0.000 Cs
0.000 0.500 0.109 Cs
0.000 0.500 0.891 Cs
0.500 0.000 0.391 Cs
0.500 0.000 0.609 Cs
0.500 0.500 0.500 Cs
0.000 0.000 0.213 Rb
0.000 0.000 0.787 Rb
0.500 0.500 0.287 Rb
0.500 0.500 0.713 Rb
0.000 0.000 0.500 Hg
0.000 0.500 0.391 Hg
0.000 0.500 0.609 Hg
0.500 0.000 0.109 Hg
0.500 0.000 0.891 Hg
0.500 0.500 0.000 Hg
```

Space-group type: No. 71
Distance to the lowest polymorph of the same formula: 36 meV/atom
Energy of formation from the pure elements: -0.136 eV per atom

***

Entry 8:
Here is a relaxed LaTiFe4 crystal from Alexandria. Energies are from PBE.

```
LaTiFe4
1.0
0.000 3.587 3.587
3.587 0.000 3.587
3.587 3.587 0.000
La Ti Fe
1 1 4
Direct
0.000 0.000 0.000 La
0.250 0.250 0.250 Ti
0.128 0.624 0.624 Fe
0.624 0.128 0.624 Fe
0.624 0.624 0.128 Fe
0.624 0.624 0.624 Fe
```

Space-group type: No. 216
Energy of formation from the pure elements: 0.043 eV per atom

***

Entry 9:
Here is a relaxed Pr2SnBr crystal from Alexandria. Energies are from PBE.

```
Pr2SnBr
1.0
3.681 0.000 0.000
-1.841 3.188 0.000
0.000 0.000 29.953
Pr Sn Br
6 3 3
Direct
0.000 0.000 0.246 Pr
0.000 0.000 0.754 Pr
0.333 0.667 0.421 Pr
0.333 0.667 0.913 Pr
0.667 0.333 0.087 Pr
0.667 0.333 0.579 Pr
0.000 0.000 0.000 Sn
0.333 0.667 0.667 Sn
0.667 0.333 0.333 Sn
0.000 0.000 0.500 Br
0.333 0.667 0.167 Br
0.667 0.333 0.833 Br
```

Space-group type: No. 166
Distance to the lowest polymorph of the same formula: 244 meV/atom
Formation energy (no corrections): -828.7 meV/atom

***

Entry 10:
Here is a relaxed Li3In2Ag4Ge2 crystal from Alexandria. Energies are from PBE.

```
Li3In2Ag4Ge2
1.0
4.613 0.000 0.000
-2.306 3.995 0.000
0.000 0.000 11.486
Li In Ag Ge
3 2 4 2
Direct
0.000 0.000 0.000 Li
0.000 0.000 0.250 Li
0.000 0.000 0.750 Li
0.333 0.667 0.581 In
0.667 0.333 0.419 In
0.333 0.667 0.332 Ag
0.333 0.667 0.849 Ag
0.667 0.333 0.151 Ag
0.667 0.333 0.668 Ag
0.333 0.667 0.103 Ge
0.667 0.333 0.897 Ge
```

Space-group type: No. 164
Energy of formation from the pure elements: -0.112 eV per atom

***

Entry 11:
Here is a relaxed TaFePt6 crystal from Alexandria. Energies are from PBE.

```
TaFePt6
1.0
3.655 2.110 3.118
-3.655 2.110 3.118
0.000 -4.220 3.118
Ta Fe Pt
1 1 6
Direct
0.000 0.000 0.000 Ta
0.500 0.500 0.500 Fe
0.172 0.172 0.545 Pt
0.172 0.545 0.172 Pt
0.455 0.828 0.828 Pt
0.545 0.172 0.172 Pt
0.828 0.455 0.828 Pt
0.828 0.828 0.455 Pt
```

Space-group type: No. 166
Distance to the lowest polymorph of the same formula: 602 meV/atom
Energy of formation from the pure elements: 0.111 eV per atom

***

Entry 12:
Here is a relaxed PrTmTe2S crystal from Alexandria. Energies are from PBE.

```
PrTmTe2S
1.0
4.452 0.000 0.000
0.000 4.452 0.000
0.000 0.000 15.640
Pr Tm Te S
2 2 4 2
Direct
0.250 0.250 0.108 Pr
0.750 0.750 0.892 Pr
0.250 0.250 0.609 Tm
0.750 0.750 0.391 Tm
0.250 0.250 0.408 Te
0.250 0.250 0.793 Te
0.750 0.750 0.207 Te
0.750 0.750 0.592 Te
0.250 0.750 0.000 S
0.750 0.250 0.000 S
```

Space-group type: No. 129
Formation energy (no corrections): -1462.8 meV/atom